Compound: Al2TcMo
Source: the Alexandria database
Functional: PBE-GGA
Structure: optimized geometry

Summary:
* offset from the most stable computed form: 262 meV/atom
* magnetic moment: 0.0 μB/f.u.
* energy of formation from the pure elements: -0.099 eV/atom

Structure (CIF):
```
data_Al2TcMo
_chemical_formula_sum 'Al4 Tc2 Mo2'
_cell_length_a 3.843
_cell_length_b 3.843
_cell_length_c 8.118
_cell_angle_alpha 90.00
_cell_angle_beta 90.00
_cell_angle_gamma 90.00
_symmetry_space_group_name_H-M 'I 4/m m m'
_symmetry_Int_Tables_number 139
_symmetry_space_group_name_Hall '-I 4 2'
loop_
_atom_site_label
_atom_site_type_symbol
_atom_site_fract_x
_atom_site_fract_y
_atom_site_fract_z
_atom_site_occupancy
Al1 Al 0.000 0.500 0.250 1
Tc1 Tc 0.000 0.000 0.000 1
Mo1 Mo 0.000 0.000 0.500 1
```